a | {
  "formula": "KLiIn",
  "functional": "PBE",
  "state": "optimized geometry",
  "lattice": [[11.8083, 0.0000, -0.0315], [0.0000, 4.8077, 0.0000], [-1.9735, 0.0000, 8.0524]],
  "species": ["K", "K", "K", "K", "In", "In", "In", "In", "Li", "Li", "Li", "Li"],
  "fractional_positions": [[0.2846, 0.0000, 0.8469], [0.2846, 0.5000, 0.3469], [0.9459, 0.0000, 0.0681], [0.9459, 0.5000, 0.5681], [0.6178, 0.0000, 0.9617], [0.6178, 0.5000, 0.4617], [0.4851, 0.0000, 0.2494], [0.4851, 0.5000, 0.7494], [0.5889, 0.0000, 0.6180], [0.7257, 0.0000, 0.3313], [0.5889, 0.5000, 0.1180], [0.7257, 0.5000, 0.8313]]
}

b | {
  "formula": "KLiIn",
  "functional": "PBE",
  "state": "optimized geometry",
  "lattice": [[4.9949, -0.0005, 0.0311], [0.0028, 5.9608, 0.0168], [2.4647, 1.2074, 6.3854]],
  "species": ["In", "In", "K", "K", "Li", "Li"],
  "fractional_positions": [[0.4631, 0.2693, 0.5745], [0.9285, 0.5254, 0.6439], [0.1953, 0.4008, 0.1088], [0.6963, 0.9011, 0.1065], [0.4370, 0.7650, 0.6269], [0.9568, 0.0303, 0.5874]]
}

Most stable structure among those shown: b.